A plane-wave DFT calculation with PBE was carried out for crystalline LiNdCo4 at its relaxed geometry.

abc: 4.9990 4.9990 4.9990
angles: 60.00 60.00 60.00
Fractional coordinates of all 6 atoms:
Li 0.0000 0.0000 0.0000
Nd 0.7500 0.7500 0.7500
Co 0.3742 0.3742 0.3742
Co 0.3742 0.3742 0.8775
Co 0.3742 0.8775 0.3742
Co 0.8775 0.3742 0.3742

## Properties
Symmetry: F-43m (216)
ΔH_f (0 K) in meV/atom: 22